Compound: Ba2MgPdI
Source: the Alexandria database
Functional: PBE
Structure: optimized geometry

a b c (Å): 6.281 6.281 5.082
angles (deg): 90.00 90.00 90.00
Positions (direct):
Ba1 0.000 0.500 0.000
Ba2 0.500 0.000 0.000
Mg1 0.000 0.000 0.500
Pd1 0.000 0.000 0.000
I1 0.500 0.500 0.500

DFT total energy = -15.6 eV for the cell shown
raw formation energy = -0.68 eV per atom
space group = P4/mmm